Entry 1:
Material: TbZrCdPt
Method: DFT, PBE-GGA
State: relaxed

Cell: 7.0438 7.0438 7.0438 Å, 90.00 90.00 90.00°
With the nearest neighbours (Å) after each atom.
Space group F-43m (No. 216)
Asymmetric unit:
1 Tb 0.0000 0.0000 0.0000 [4 per cell]  4 Pt 3.05, 4 Cd 3.05
2 Zr 0.0000 0.0000 0.5000 [4 per cell]  4 Cd 3.05, 4 Pt 3.05
3 Cd 0.2500 0.2500 0.2500 [4 per cell]  4 Tb 3.05, 4 Zr 3.05
4 Pt 0.2500 0.2500 0.7500 [4 per cell]  4 Zr 3.05, 4 Tb 3.05



Entry 2:
Material: Sc4MnPb
Method: DFT, PBE-GGA
State: relaxed

Cell: 8.2850 8.2850 8.2850 Å, 90.00 90.00 90.00°
With the nearest neighbours (Å) after each atom.
Space group F-43m (No. 216)
Asymmetric unit:
1 Sc 0.1242 0.1242 0.1242 [16 per cell]  6 Sc 2.91-2.95
2 Mn 0.2500 0.2500 0.7500 [4 per cell]  12 Sc 3.43, 4 Pb 3.59
3 Pb 0.0000 0.0000 0.5000 [4 per cell]  12 Sc 3.44, 4 Mn 3.59



Formation energy from the elements, respectively: -0.504, 0.348 eV per atom.
N(E_F), respectively: 1.180, 1.520 states/eV per atom.
Total energy, respectively: -88.6, -144.5 eV/cell.